Below is a geometry-optimized NaSr2NiAs structure, with properties calculated at the PBE level.

Cell lengths 6.1091, 6.1091, 4.4480 Å; angles 90.00, 90.00, 90.00 degrees
Space group P4/mmm (No. 123)
Asymmetric unit:
1 Na 0.0000 0.0000 0.0000 (multiplicity 1)
2 Sr 0.0000 0.5000 0.5000 (multiplicity 2)
3 Ni 0.5000 0.5000 0.0000 (multiplicity 1)
4 As 0.5000 0.5000 0.5000 (multiplicity 1)

Properties
Excess energy over the best structure of this formula in the dataset in meV per atom: 0

***

Below is a geometry-optimized Pm5Cd4Rh structure, with properties calculated at the PBE level.

Cell lengths 3.7204, 3.7204, 19.3297 Å; angles 90.00, 90.00, 90.00 degrees
Space group P4/mmm (No. 123)
Asymmetric unit:
1 Pm 0.0000 0.0000 0.0000 (multiplicity 1)
2 Pm 0.0000 0.0000 0.2067 (multiplicity 2)
3 Pm 0.0000 0.0000 0.4162 (multiplicity 2)
4 Cd 0.5000 0.5000 0.1032 (multiplicity 2)
5 Cd 0.5000 0.5000 0.3081 (multiplicity 2)
6 Rh 0.5000 0.5000 0.5000 (multiplicity 1)

***

Below is a geometry-optimized CeHoErMg structure, with properties calculated at the PBE level.

Cell lengths 7.7438, 7.7438, 7.7438 Å; angles 90.00, 90.00, 90.00 degrees
Space group F-43m (No. 216)
Asymmetric unit:
1 Ce 0.0000 0.0000 0.0000 (multiplicity 4)
2 Ho 0.0000 0.0000 0.5000 (multiplicity 4)
3 Er 0.2500 0.2500 0.2500 (multiplicity 4)
4 Mg 0.2500 0.2500 0.7500 (multiplicity 4)

***

Below is a geometry-optimized BeRhSe2N structure, with properties calculated at the PBE level.

Cell lengths 4.8377, 4.8377, 3.0432 Å; angles 90.00, 90.00, 90.00 degrees
Space group P4/mmm (No. 123)
Asymmetric unit:
1 Be 0.0000 0.0000 0.0000 (multiplicity 1)
2 Rh 0.5000 0.5000 0.5000 (multiplicity 1)
3 Se 0.0000 0.5000 0.0000 (multiplicity 2)
4 N 0.0000 0.0000 0.5000 (multiplicity 1)

Properties
Formation energy (no corrections) in eV per atom: 0.480
Excess energy over the best structure of this formula in the dataset in meV per atom: 0

***

Below is a geometry-optimized Ho2FeAgC structure, with properties calculated at the PBE level.

Cell lengths 4.9785, 4.9785, 3.6663 Å; angles 90.00, 90.00, 90.00 degrees
Space group P4/mmm (No. 123)
Asymmetric unit:
1 Ho 0.0000 0.5000 0.0000 (multiplicity 2)
2 Fe 0.0000 0.0000 0.5000 (multiplicity 1)
3 Ag 0.5000 0.5000 0.5000 (multiplicity 1)
4 C 0.0000 0.0000 0.0000 (multiplicity 1)

***

Below is a geometry-optimized Tb3SmCo8 structure, with properties calculated at the PBE level.

Cell lengths 5.0936, 5.0936, 24.9725 Å; angles 90.00, 90.00, 120.00 degrees
Space group R3m (No. 160, hexagonal axes)
Asymmetric unit:
1 Tb 0.0000 0.0000 0.0000 (multiplicity 3)
2 Tb 0.0000 0.0000 0.1248 (multiplicity 3)
3 Tb 0.0000 0.0000 0.6250 (multiplicity 3)
4 Sm 0.0000 0.0000 0.4999 (multiplicity 3)
5 Co 0.0000 0.0000 0.3125 (multiplicity 3)
6 Co 0.0000 0.0000 0.8122 (multiplicity 3)
7 Co 0.0010 0.5005 0.5631 (multiplicity 9)
8 Co 0.1675 0.3350 0.3951 (multiplicity 9)

***

Below is a geometry-optimized SmZrGa2 structure, with properties calculated at the PBE level.

Cell lengths 5.1783, 5.1783, 3.2042 Å; angles 90.00, 90.00, 90.00 degrees
Space group P4/mmm (No. 123)
Asymmetric unit:
1 Sm 0.0000 0.0000 0.0000 (multiplicity 1)
2 Zr 0.5000 0.5000 0.0000 (multiplicity 1)
3 Ga 0.0000 0.5000 0.5000 (multiplicity 2)

Properties
Excess energy over the best structure of this formula in the dataset in meV per atom: 72

***

Below is a geometry-optimized SrCuSi2Pd5 structure, with properties calculated at the PBE level.

Cell lengths 4.2120, 4.2120, 9.8371 Å; angles 90.00, 90.00, 90.00 degrees
Space group P4/mmm (No. 123)
Asymmetric unit:
1 Sr 0.0000 0.0000 0.0000 (multiplicity 1)
2 Cu 0.0000 0.0000 0.5000 (multiplicity 1)
3 Si 0.5000 0.5000 0.2385 (multiplicity 2)
4 Pd 0.0000 0.5000 0.3488 (multiplicity 4)
5 Pd 0.5000 0.5000 0.0000 (multiplicity 1)

Properties
Formation energy (no corrections) in eV per atom: -0.411

***

Below is a geometry-optimized HgPPt2 structure, with properties calculated at the PBE level.

Cell lengths 3.4278, 3.4278, 22.3502 Å; angles 90.00, 90.00, 120.00 degrees
Space group R3m (No. 160, hexagonal axes)
Asymmetric unit:
1 Hg 0.0000 0.0000 0.0000 (multiplicity 3)
2 P 0.0000 0.0000 0.7721 (multiplicity 3)
3 Pt 0.0000 0.0000 0.2422 (multiplicity 3)
4 Pt 0.0000 0.0000 0.4923 (multiplicity 3)

Properties
Excess energy over the best structure of this formula in the dataset in meV per atom: 122

***

Below is a geometry-optimized CoOs2 structure, with properties calculated at the PBE level.

Cell lengths 2.6745, 2.6745, 11.0396 Å; angles 90.00, 90.00, 90.00 degrees
Space group I4/mmm (No. 139)
Asymmetric unit:
1 Co 0.0000 0.0000 0.0000 (multiplicity 2)
2 Os 0.0000 0.0000 0.3360 (multiplicity 4)

Properties
Excess energy over the best structure of this formula in the dataset in meV per atom: 144

***

Below is a geometry-optimized CdSbMo2 structure, with properties calculated at the PBE level.

Cell lengths 4.7006, 4.7006, 3.2468 Å; angles 90.00, 90.00, 90.00 degrees
Space group P4/mmm (No. 123)
Asymmetric unit:
1 Cd 0.0000 0.0000 0.0000 (multiplicity 1)
2 Sb 0.5000 0.5000 0.0000 (multiplicity 1)
3 Mo 0.0000 0.5000 0.5000 (multiplicity 2)

Properties
Formation energy (no corrections) in eV per atom: 0.556
Excess energy over the best structure of this formula in the dataset in meV per atom: 323

***

Below is a geometry-optimized TiCu2Ni2 structure, with properties calculated at the PBE level.

Cell lengths 3.4320, 3.4320, 11.1957 Å; angles 90.00, 90.00, 90.00 degrees
Space group I4/mmm (No. 139)
Asymmetric unit:
1 Ti 0.0000 0.0000 0.0000 (multiplicity 2)
2 Cu 0.0000 0.0000 0.3977 (multiplicity 4)
3 Ni 0.0000 0.5000 0.2500 (multiplicity 4)

Properties
Excess energy over the best structure of this formula in the dataset in meV per atom: 340

***

The calculation returns the following total DFT energy (no corrections) values, one per record and in order: -3.306; -3.870; -4.080; -4.794; -6.270; -6.447; -5.253; -5.143; -4.451; -9.669; -6.119; -5.407 eV/atom.